[1]
Material: TlSb2
Method: DFT, SCAN
State: single point on PBEsol structure

```
data_TlSb2
_chemical_formula_sum 'Tl8 Sb16'
_space_group_name_H-M_alt 'P 63/m m c'
_space_group_IT_number 194
_space_group_name_Hall '-P 6c 2c'
_cell_length_a 6.3131
_cell_length_b 6.3131
_cell_length_c 20.4552
_cell_angle_alpha 90.00
_cell_angle_beta 90.00
_cell_angle_gamma 120.00
loop_
_atom_site_label
_atom_site_type_symbol
_atom_site_fract_x
_atom_site_fract_y
_atom_site_fract_z
Tl1 Tl 0.0000 0.0000 0.0915
Tl2 Tl 0.3333 0.6667 0.1553
Sb1 Sb 0.0000 0.5000 0.0000
Sb2 Sb 0.1619 0.3238 0.7500
Sb3 Sb 0.3333 0.6667 0.6255
```

## Properties
Crystal system: hexagonal
Formation energy without anion corrections: 0.11 eV per atom

---

[2]
Material: ZnPt2Cl
Method: DFT, SCAN
State: single point on PBEsol structure

```
data_ZnPt2Cl
_chemical_formula_sum 'Zn3 Pt6 Cl3'
_space_group_name_H-M_alt 'R -3 m'
_space_group_IT_number 166
_space_group_name_Hall '-R 3 2"'
_cell_length_a 2.7613
_cell_length_b 2.7613
_cell_length_c 28.6105
_cell_angle_alpha 90.00
_cell_angle_beta 90.00
_cell_angle_gamma 120.00
loop_
_atom_site_label
_atom_site_type_symbol
_atom_site_fract_x
_atom_site_fract_y
_atom_site_fract_z
Zn1 Zn 0.0000 0.0000 0.0000
Pt1 Pt 0.0000 0.0000 0.2621
Cl1 Cl 0.0000 0.0000 0.5000
```

## Properties
Excess energy over the best structure of this formula in the dataset: 0.58 kcal/mol of atoms
Crystal system: trigonal
Formation energy without anion corrections: -0.02 eV per atom

---

[3]
Material: LaAl2Os
Method: DFT, SCAN
State: single point on PBEsol structure

```
data_LaAl2Os
_chemical_formula_sum 'La3 Al6 Os3'
_space_group_name_H-M_alt 'R -3 m'
_space_group_IT_number 166
_space_group_name_Hall '-R 3 2"'
_cell_length_a 4.2595
_cell_length_b 4.2595
_cell_length_c 15.9992
_cell_angle_alpha 90.00
_cell_angle_beta 90.00
_cell_angle_gamma 120.00
loop_
_atom_site_label
_atom_site_type_symbol
_atom_site_fract_x
_atom_site_fract_y
_atom_site_fract_z
La1 La 0.0000 0.0000 0.0000
Al1 Al 0.0000 0.0000 0.2034
Os1 Os 0.0000 0.0000 0.5000
```

## Properties
Formation enthalpy at 0 K: -2.0 eV per formula unit
Crystal system: trigonal

---

[4]
Material: KTaAlGe2
Method: DFT, SCAN
State: single point on PBEsol structure

```
data_KTaAlGe2
_chemical_formula_sum 'K1 Ta1 Al1 Ge2'
_space_group_name_H-M_alt 'P 4/m m m'
_space_group_IT_number 123
_space_group_name_Hall '-P 4 2'
_cell_length_a 5.001
_cell_length_b 5.001
_cell_length_c 5.812
_cell_angle_alpha 90.00
_cell_angle_beta 90.00
_cell_angle_gamma 90.00
loop_
_atom_site_label
_atom_site_type_symbol
_atom_site_fract_x
_atom_site_fract_y
_atom_site_fract_z
K1 K 0.000 0.000 0.000
Ta1 Ta 0.000 0.000 0.500
Al1 Al 0.500 0.500 0.000
Ge1 Ge 0.000 0.500 0.500
```

## Properties
Formation enthalpy at 0 K: 4.9 eV per formula unit
Crystal system: tetragonal

---

[5]
Material: Ta2PdS6
Method: DFT, SCAN
State: single point on PBEsol structure

```
data_Ta2PdS6
_chemical_formula_sum 'Ta4 Pd2 S12'
_space_group_name_H-M_alt 'C 1 2/m 1'
_space_group_IT_number 12
_space_group_name_Hall '-C 2y'
_cell_length_a 11.978
_cell_length_b 3.234
_cell_length_c 9.954
_cell_angle_alpha 90.00
_cell_angle_beta 116.68
_cell_angle_gamma 90.00
loop_
_atom_site_label
_atom_site_type_symbol
_atom_site_fract_x
_atom_site_fract_y
_atom_site_fract_z
Ta1 Ta 0.182 0.000 0.291
Pd1 Pd 0.000 0.500 0.000
S1 S 0.011 0.500 0.240
S2 S 0.161 0.000 0.539
S3 S 0.217 0.500 0.127
```

## Properties
Crystal system: monoclinic
Formation energy without anion corrections: -0.93 eV per atom

---

[6]
Material: KCa2Ta
Method: DFT, SCAN
State: single point on PBEsol structure

```
data_KCa2Ta
_chemical_formula_sum 'K2 Ca4 Ta2'
_space_group_name_H-M_alt 'I m m 2'
_space_group_IT_number 44
_space_group_name_Hall 'I 2 -2'
_cell_length_a 3.276
_cell_length_b 6.025
_cell_length_c 12.994
_cell_angle_alpha 90.00
_cell_angle_beta 90.00
_cell_angle_gamma 90.00
loop_
_atom_site_label
_atom_site_type_symbol
_atom_site_fract_x
_atom_site_fract_y
_atom_site_fract_z
K1 K 0.000 0.000 0.000
Ca1 Ca 0.000 0.000 0.436
Ca2 Ca 0.000 0.500 0.223
Ta1 Ta 0.000 0.500 0.737
```

## Properties
Formation enthalpy at 0 K: 4.1 eV per formula unit
Excess energy over the best structure of this formula in the dataset: 5.85 kcal/mol of atoms
Crystal system: orthorhombic

---

[7]
Material: Hf3CoPd
Method: DFT, SCAN
State: single point on PBEsol structure

```
data_Hf3CoPd
_chemical_formula_sum 'Hf3 Co1 Pd1'
_space_group_name_H-M_alt 'P m -3 m'
_space_group_IT_number 221
_space_group_name_Hall '-P 4 2 3'
_cell_length_a 4.889
_cell_length_b 4.889
_cell_length_c 4.889
_cell_angle_alpha 90.00
_cell_angle_beta 90.00
_cell_angle_gamma 90.00
loop_
_atom_site_label
_atom_site_type_symbol
_atom_site_fract_x
_atom_site_fract_y
_atom_site_fract_z
Hf1 Hf 0.000 0.000 0.500
Co1 Co 0.500 0.500 0.500
Pd1 Pd 0.000 0.000 0.000
```

## Properties
Formation enthalpy at 0 K: 3.9 eV per formula unit
Crystal system: cubic

---

[8]
Material: ScMn2Fe
Method: DFT, SCAN
State: single point on PBEsol structure

```
data_ScMn2Fe
_chemical_formula_sum 'Sc4 Mn8 Fe4'
_space_group_name_H-M_alt 'F m -3 m'
_space_group_IT_number 225
_space_group_name_Hall '-F 4 2 3'
_cell_length_a 5.796
_cell_length_b 5.796
_cell_length_c 5.796
_cell_angle_alpha 90.00
_cell_angle_beta 90.00
_cell_angle_gamma 90.00
loop_
_atom_site_label
_atom_site_type_symbol
_atom_site_fract_x
_atom_site_fract_y
_atom_site_fract_z
Sc1 Sc 0.000 0.000 0.000
Mn1 Mn 0.250 0.250 0.250
Fe1 Fe 0.000 0.000 0.500
```

## Properties
Formation enthalpy at 0 K: 1.1 eV per formula unit
Excess energy over the best structure of this formula in the dataset: 5.45 kcal/mol of atoms
Crystal system: cubic

---

[9]
Material: ScCd2Ir
Method: DFT, SCAN
State: single point on PBEsol structure

```
data_ScCd2Ir
_chemical_formula_sum 'Sc1 Cd2 Ir1'
_space_group_name_H-M_alt 'P 4/m m m'
_space_group_IT_number 123
_space_group_name_Hall '-P 4 2'
_cell_length_a 3.954
_cell_length_b 3.954
_cell_length_c 4.578
_cell_angle_alpha 90.00
_cell_angle_beta 90.00
_cell_angle_gamma 90.00
loop_
_atom_site_label
_atom_site_type_symbol
_atom_site_fract_x
_atom_site_fract_y
_atom_site_fract_z
Sc1 Sc 0.000 0.000 0.000
Cd1 Cd 0.000 0.500 0.500
Ir1 Ir 0.500 0.500 0.000
```

## Properties
Formation enthalpy at 0 K: -1.5 eV per formula unit
Crystal system: tetragonal

---

[10]
Material: Sn7Ir2Os
Method: DFT, SCAN
State: single point on PBEsol structure

```
data_Sn7Ir2Os
_chemical_formula_sum 'Sn56 Ir16 Os8'
_space_group_name_H-M_alt 'F m m 2'
_space_group_IT_number 42
_space_group_name_Hall 'F 2 -2'
_cell_length_a 9.383
_cell_length_b 13.228
_cell_length_c 13.222
_cell_angle_alpha 90.00
_cell_angle_beta 90.00
_cell_angle_gamma 90.00
loop_
_atom_site_label
_atom_site_type_symbol
_atom_site_fract_x
_atom_site_fract_y
_atom_site_fract_z
Sn1 Sn 0.000 0.124 0.000
Sn2 Sn 0.000 0.126 0.750
Sn3 Sn 0.162 0.000 0.210
Sn4 Sn 0.163 0.164 0.373
Sn5 Sn 0.164 0.000 0.538
Sn6 Sn 0.250 0.250 0.126
Ir1 Ir 0.000 0.171 0.544
Ir2 Ir 0.156 0.000 0.873
Os1 Os 0.000 0.172 0.201
```

## Properties
Formation enthalpy at 0 K: -1.9 eV per formula unit
Crystal system: orthorhombic

---

[11]
Material: MnPRu
Method: DFT, SCAN
State: single point on PBEsol structure

```
data_MnPRu
_chemical_formula_sum 'Mn2 P2 Ru2'
_space_group_name_H-M_alt 'I 4 m m'
_space_group_IT_number 107
_space_group_name_Hall 'I 4 -2'
_cell_length_a 2.774
_cell_length_b 2.774
_cell_length_c 8.897
_cell_angle_alpha 90.00
_cell_angle_beta 90.00
_cell_angle_gamma 90.00
loop_
_atom_site_label
_atom_site_type_symbol
_atom_site_fract_x
_atom_site_fract_y
_atom_site_fract_z
Mn1 Mn 0.000 0.000 0.000
P1 P 0.000 0.000 0.635
Ru1 Ru 0.000 0.000 0.299
```

## Properties
Formation enthalpy at 0 K: -0.6 eV per formula unit
Crystal system: tetragonal

---

[12]
Material: Mn3AgHg
Method: DFT, SCAN
State: single point on PBEsol structure

```
data_Mn3AgHg
_chemical_formula_sum 'Mn3 Ag1 Hg1'
_space_group_name_H-M_alt 'P m -3 m'
_space_group_IT_number 221
_space_group_name_Hall '-P 4 2 3'
_cell_length_a 4.838
_cell_length_b 4.838
_cell_length_c 4.838
_cell_angle_alpha 90.00
_cell_angle_beta 90.00
_cell_angle_gamma 90.00
loop_
_atom_site_label
_atom_site_type_symbol
_atom_site_fract_x
_atom_site_fract_y
_atom_site_fract_z
Mn1 Mn 0.000 0.000 0.500
Ag1 Ag 0.000 0.000 0.000
Hg1 Hg 0.500 0.500 0.500
```

## Properties
Formation enthalpy at 0 K: 3.2 eV per formula unit
Crystal system: cubic